DFT (PBE) results for a geometry-optimized TaPd2Se structure. Values from VASP.

Energy relative to the elements, uncorrected = 376 meV/atom
Total DFT energy (no corrections) = -6.0548 eV per atom
Space-group type = I-42d, No. 122
Volume = 22.7 A^3/atom

The structure in Quantum ESPRESSO input format:
```
&SYSTEM
  ibrav = 0, nat = 8, ntyp = 3
/
ATOMIC_SPECIES
Ta 180.95 Ta.upf
Pd 106.42 Pd.upf
Se 78.96 Se.upf
CELL_PARAMETERS angstrom
-3.1555 3.1555 4.5512
3.1555 -3.1555 4.5512
3.1555 3.1555 -4.5512
ATOMIC_POSITIONS crystal
Ta 0.0000 0.0000 0.0000
Ta 0.7500 0.2500 0.5000
Pd 0.1233 0.6250 0.9983
Pd 0.3750 0.3733 0.4983
Pd 0.6267 0.1250 0.0017
Pd 0.8750 0.8767 0.5017
Se 0.2500 0.7500 0.5000
Se 0.5000 0.5000 0.0000
```